# Li2MoRh

A geometry-optimized Li2MoRh structure (PBE, Alexandria via LeMat-Bulk).

Lattice parameters (Å, degrees): 2.7860 2.7860 27.9770 90.00 90.00 120.00
Space group R3m (No. 160, hexagonal axes)
Symmetry-distinct sites (fractional):
1 Li 0.0000 0.0000 0.0000 (multiplicity 3)
2 Li 0.0000 0.0000 0.2406 (multiplicity 3)
3 Mo 0.0000 0.0000 0.4856 (multiplicity 3)
4 Rh 0.0000 0.0000 0.7445 (multiplicity 3)

=====

# Ca2Ga2C

A geometry-optimized Ca2Ga2C structure (PBE, Alexandria via LeMat-Bulk).

Lattice parameters (Å, degrees): 6.5293 6.5293 4.7638 90.00 90.00 90.00
Space group P4/mbm (No. 127)
Symmetry-distinct sites (fractional):
1 Ca 0.1738 0.3262 0.0000 (multiplicity 4)
2 Ga 0.1427 0.6427 0.5000 (multiplicity 4)
3 C 0.0000 0.0000 0.5000 (multiplicity 2)

=====

Excess energy over the best structure of this formula in the dataset values (in meV per atom) by entry order: 0, 0.